Record 1
The following is a PBE calculation of a geometry-optimized MnTlCoCl6 structure, from Alexandria via LeMat-Bulk.

Summary:
calculated density: 3.54 Mg/m³
energy relative to the elements, uncorrected: -833 meV per atom
space-group type: P1 (1)
M_tot: 7.1 μB/cell

Unit cell a=6.538 b=6.299 c=7.118 alpha=89.30 beta=87.43 gamma=58.36
Site moments in Bohr magnetons follow the coordinates.
Positions (direct):
Mn  0.333  0.331  0.500  3.73
Tl  0.999  0.004  0.999  0.01
Co  0.671  0.642  0.499  2.50
Cl  0.991  0.385  0.291  0.14
Cl  0.380  0.008  0.693  0.04
Cl  0.635  0.377  0.707  0.14
Cl  0.008  0.620  0.687  0.05
Cl  0.369  0.624  0.319  0.06
Cl  0.614  0.009  0.306  0.03

---

Record 2
The following is a PBE calculation of a geometry-optimized CdSn2HgBi structure, from Alexandria via LeMat-Bulk.

Summary:
calculated density: 8.40 Mg/m³
formation energy from the elements: 77 meV per atom
space-group type: P2_1/m (11)
M_tot: 0.0 μB/cell

Unit cell a=4.337 b=7.325 c=10.427 alpha=114.98 beta=90.00 gamma=90.00
Positions (direct):
Cd  0.250  0.166  0.036
Cd  0.750  0.834  0.964
Sn  0.750  0.534  0.649
Sn  0.250  0.466  0.351
Sn  0.750  0.550  0.133
Sn  0.250  0.450  0.867
Hg  0.250  0.897  0.197
Hg  0.750  0.103  0.803
Bi  0.250  0.201  0.527
Bi  0.750  0.799  0.473

---

Record 3
The following is a PBE calculation of a geometry-optimized SmHg2Bi structure, from Alexandria via LeMat-Bulk.

Summary:
calculated density: 11.73 Mg/m³
formation energy from the elements: -452 meV per atom
space-group type: P4/mmm (123)
M_tot: 0.0 μB/cell

Unit cell a=5.083 b=4.602 c=4.602 alpha=90.00 beta=90.00 gamma=90.00
Positions (direct):
Bi  0.500  0.000  0.000
Sm  0.500  0.500  0.500
Hg  0.000  0.000  0.500
Hg  0.000  0.500  0.000

---

Record 4
The following is a PBE calculation of a geometry-optimized LiCa2Zn structure, from Alexandria via LeMat-Bulk.

Summary:
calculated density: 2.27 Mg/m³
formation energy from the elements: 1 meV per atom
space-group type: I-4m2 (119)
M_tot: 0.0 μB/cell

Unit cell a=6.201 b=6.201 c=6.201 alpha=136.50 beta=136.50 gamma=63.21
Positions (direct):
Ca  0.000  0.000  0.000
Ca  0.250  0.750  0.500
Li  0.500  0.500  0.000
Zn  0.750  0.250  0.500

---

Record 5
The following is a PBE calculation of a geometry-optimized La4Pm3Cu2 structure, from Alexandria via LeMat-Bulk.

Summary:
calculated density: 6.55 Mg/m³
formation energy from the elements: -21 meV per atom
space-group type: C2/m (12)
M_tot: 0.0 μB/cell

Unit cell a=3.803 b=9.315 c=8.929 alpha=112.99 beta=102.29 gamma=90.00
Positions (direct):
La  0.237  0.667  0.474
La  0.763  0.333  0.526
La  0.631  0.885  0.262
La  0.369  0.115  0.738
Pm  0.071  0.181  0.141
Pm  0.929  0.819  0.859
Pm  0.000  0.500  0.000
Cu  0.389  0.557  0.778
Cu  0.611  0.443  0.222

---

Record 6
The following is a PBE calculation of a geometry-optimized MnV3P structure, from Alexandria via LeMat-Bulk.

Summary:
calculated density: 4.85 Mg/m³
formation energy from the elements: 312 meV per atom
energy above the most stable polymorph in this dataset: 0.0 meV/atom
space-group type: Pm-3m (221)
M_tot: 0.5 μB/cell

Unit cell a=4.340 b=4.340 c=4.340 alpha=90.00 beta=90.00 gamma=90.00
Site moments in Bohr magnetons follow the coordinates.
Positions (direct):
P  0.000  0.000  0.000  0.07
Mn  0.500  0.500  0.500  3.80
V  0.000  0.500  0.000  -1.05
V  0.000  0.000  0.500  -1.05
V  0.500  0.000  0.000  -1.05

---

Going through the records in order, we get raw total energy values of -37.22 -25.43 -11.01 -7.19 -42.34 -40.38 eV for the cell shown.